1.
{
  "formula": "Ce2MnAs3Rh4",
  "functional": "PBE-GGA",
  "state": "relaxed",
  "cell": [[4.118, 0.000, 0.000], [0.000, 4.118, 0.000], [0.000, 0.000, 10.587]],
  "species": ["Ce", "Ce", "Mn", "As", "As", "As", "Rh", "Rh", "Rh", "Rh"],
  "fractional_positions": [[0.000, 0.500, 0.248], [0.500, 0.000, 0.752], [0.500, 0.500, 0.000], [0.000, 0.000, 0.000], [0.000, 0.500, 0.635], [0.500, 0.000, 0.365], [0.000, 0.000, 0.500], [0.000, 0.500, 0.863], [0.500, 0.000, 0.137], [0.500, 0.500, 0.500]],
  "total_energy_ev_per_atom": -7.2705,
  "formation_enthalpy_0k_ev_per_atom": -0.831
}

---

2.
{
  "formula": "Ce2MnAs4Ru3",
  "functional": "PBE-GGA",
  "state": "relaxed",
  "cell": [[4.246, 0.000, 0.000], [0.000, 4.246, 0.000], [0.000, 0.000, 10.052]],
  "species": ["Ce", "Ce", "Mn", "As", "As", "As", "As", "Ru", "Ru", "Ru"],
  "fractional_positions": [[0.000, 0.500, 0.242], [0.500, 0.000, 0.758], [0.000, 0.000, 0.500], [0.000, 0.000, 0.000], [0.000, 0.500, 0.637], [0.500, 0.000, 0.363], [0.500, 0.500, 0.000], [0.000, 0.500, 0.879], [0.500, 0.000, 0.121], [0.500, 0.500, 0.500]],
  "total_energy_ev_per_atom": -7.4105,
  "formation_enthalpy_0k_ev_per_atom": -0.664
}

---

3.
{
  "formula": "CeMoAs2",
  "functional": "PBE-GGA",
  "state": "relaxed",
  "cell": [[1.487, 0.859, 10.245], [-1.487, 0.859, 10.245], [0.000, -1.717, 10.245]],
  "species": ["Ce", "Mo", "As", "As"],
  "fractional_positions": [[0.000, 0.000, 0.000], [0.500, 0.500, 0.500], [0.416, 0.416, 0.416], [0.584, 0.584, 0.584]],
  "total_energy_ev_per_atom": -6.3310,
  "formation_enthalpy_0k_ev_per_atom": 0.185
}

---

4.
{
  "formula": "CeMoAs",
  "functional": "PBE-GGA",
  "state": "relaxed",
  "cell": [[2.162, 1.248, 7.746], [-2.162, 1.248, 7.746], [0.000, -2.496, 7.746]],
  "species": ["Ce", "Ce", "Mo", "Mo", "As", "As"],
  "fractional_positions": [[0.133, 0.133, 0.133], [0.867, 0.867, 0.867], [0.287, 0.287, 0.287], [0.713, 0.713, 0.713], [0.396, 0.396, 0.396], [0.604, 0.604, 0.604]],
  "total_energy_ev_per_atom": -7.3442,
  "formation_enthalpy_0k_ev_per_atom": -0.206
}